1.
# InNi2P (PBE, optimized geometry)
data_InNi2P
_space_group_name_H-M_alt 'F -4 3 m'
_space_group_IT_number 216
_space_group_name_Hall 'F -4 2 3'
_cell_length_a 6.151
_cell_length_b 6.151
_cell_length_c 6.151
_cell_angle_alpha 90.00
_cell_angle_beta 90.00
_cell_angle_gamma 90.00
loop_
_atom_site_label
_atom_site_type_symbol
_atom_site_fract_x
_atom_site_fract_y
_atom_site_fract_z
In1 In 0.000 0.000 0.000
Ni1 Ni 0.000 0.000 0.500
Ni2 Ni 0.250 0.250 0.750
P1 P 0.250 0.250 0.250
# DFT formation energy in eV per atom: 0.3227

2.
# TeRu2Br (PBE, optimized geometry)
data_TeRu2Br
_space_group_name_H-M_alt 'F m -3 m'
_space_group_IT_number 225
_space_group_name_Hall '-F 4 2 3'
_cell_length_a 6.546
_cell_length_b 6.546
_cell_length_c 6.546
_cell_angle_alpha 90.00
_cell_angle_beta 90.00
_cell_angle_gamma 90.00
loop_
_atom_site_label
_atom_site_type_symbol
_atom_site_fract_x
_atom_site_fract_y
_atom_site_fract_z
Te1 Te 0.000 0.000 0.000
Ru1 Ru 0.250 0.250 0.250
Br1 Br 0.000 0.000 0.500
# Uncorrected formation energy in meV per atom: 658

3.
# CsLaTe2 (PBE, optimized geometry)
data_CsLaTe2
_space_group_name_H-M_alt 'P 4/m m m'
_space_group_IT_number 123
_space_group_name_Hall '-P 4 2'
_cell_length_a 4.088
_cell_length_b 4.088
_cell_length_c 9.098
_cell_angle_alpha 90.00
_cell_angle_beta 90.00
_cell_angle_gamma 90.00
loop_
_atom_site_label
_atom_site_type_symbol
_atom_site_fract_x
_atom_site_fract_y
_atom_site_fract_z
Cs1 Cs 0.000 0.000 0.000
La1 La 0.000 0.000 0.500
Te1 Te 0.500 0.500 0.298
# Uncorrected formation energy in meV per atom: -1352

4.
# PmSm5Dy2Th (PBE, optimized geometry)
data_PmSm5Dy2Th
_space_group_name_H-M_alt 'C m c 21'
_space_group_IT_number 36
_space_group_name_Hall 'C 2c -2'
_cell_length_a 5.689
_cell_length_b 20.339
_cell_length_c 10.530
_cell_angle_alpha 90.00
_cell_angle_beta 90.00
_cell_angle_gamma 90.00
loop_
_atom_site_label
_atom_site_type_symbol
_atom_site_fract_x
_atom_site_fract_y
_atom_site_fract_z
Pm1 Pm 0.000 0.090 0.000
Sm1 Sm 0.000 0.022 0.292
Sm2 Sm 0.000 0.111 0.579
Sm3 Sm 0.000 0.205 0.257
Sm4 Sm 0.000 0.223 0.866
Sm5 Sm 0.000 0.484 0.574
Dy1 Dy 0.000 0.384 0.871
Dy2 Dy 0.000 0.387 0.285
Th1 Th 0.000 0.301 0.565
# DFT formation energy in eV per atom: 0.1600

5.
# Th3InHg4 (PBE, optimized geometry)
data_Th3InHg4
_space_group_name_H-M_alt 'C 1 2/m 1'
_space_group_IT_number 12
_space_group_name_Hall '-C 2y'
_cell_length_a 8.829
_cell_length_b 5.111
_cell_length_c 10.057
_cell_angle_alpha 90.00
_cell_angle_beta 106.90
_cell_angle_gamma 90.00
loop_
_atom_site_label
_atom_site_type_symbol
_atom_site_fract_x
_atom_site_fract_y
_atom_site_fract_z
Th1 Th 0.000 0.000 0.000
Th2 Th 0.120 0.000 0.359
In1 In 0.000 0.500 0.500
Hg1 Hg 0.113 0.500 0.838
Hg2 Hg 0.234 0.500 0.204
# DFT formation energy in eV per atom: -0.1841

6.
# ReTcRu (PBE, optimized geometry)
data_ReTcRu
_space_group_name_H-M_alt 'C m m m'
_space_group_IT_number 65
_space_group_name_Hall '-C 2 2'
_cell_length_a 3.872
_cell_length_b 11.583
_cell_length_c 3.881
_cell_angle_alpha 90.00
_cell_angle_beta 90.00
_cell_angle_gamma 90.00
loop_
_atom_site_label
_atom_site_type_symbol
_atom_site_fract_x
_atom_site_fract_y
_atom_site_fract_z
Re1 Re 0.000 0.000 0.000
Re2 Re 0.000 0.500 0.500
Tc1 Tc 0.000 0.167 0.500
Ru1 Ru 0.000 0.333 0.000
# DFT formation energy in eV per atom: 0.0495

7.
# Al2SeCl (PBE, optimized geometry)
data_Al2SeCl
_space_group_name_H-M_alt 'I -4 2 d'
_space_group_IT_number 122
_space_group_name_Hall 'I -4 2bw'
_cell_length_a 7.239
_cell_length_b 7.239
_cell_length_c 6.943
_cell_angle_alpha 90.00
_cell_angle_beta 90.00
_cell_angle_gamma 90.00
loop_
_atom_site_label
_atom_site_type_symbol
_atom_site_fract_x
_atom_site_fract_y
_atom_site_fract_z
Al1 Al 0.235 0.250 0.125
Se1 Se 0.000 0.000 0.000
Cl1 Cl 0.000 0.000 0.500
# Uncorrected formation energy in meV per atom: -184

8.
# PaCoPt (PBE, optimized geometry)
data_PaCoPt
_space_group_name_H-M_alt 'I 4 m m'
_space_group_IT_number 107
_space_group_name_Hall 'I 4 -2'
_cell_length_a 3.508
_cell_length_b 3.508
_cell_length_c 8.831
_cell_angle_alpha 90.00
_cell_angle_beta 90.00
_cell_angle_gamma 90.00
loop_
_atom_site_label
_atom_site_type_symbol
_atom_site_fract_x
_atom_site_fract_y
_atom_site_fract_z
Pa1 Pa 0.000 0.000 0.000
Co1 Co 0.000 0.000 0.361
Pt1 Pt 0.000 0.000 0.677
# DFT formation energy in eV per atom: -0.4891

9.
# TcSb5 (PBE, optimized geometry)
data_TcSb5
_space_group_name_H-M_alt 'F -4 3 m'
_space_group_IT_number 216
_space_group_name_Hall 'F -4 2 3'
_cell_length_a 8.705
_cell_length_b 8.705
_cell_length_c 8.705
_cell_angle_alpha 90.00
_cell_angle_beta 90.00
_cell_angle_gamma 90.00
loop_
_atom_site_label
_atom_site_type_symbol
_atom_site_fract_x
_atom_site_fract_y
_atom_site_fract_z
Tc1 Tc 0.000 0.000 0.000
Sb1 Sb 0.125 0.125 0.375
Sb2 Sb 0.250 0.250 0.750
# Uncorrected formation energy in meV per atom: 910

10.
VASP calculation (PBE) on a relaxed EuH3Au crystal.

```
data_EuH3Au
_space_group_name_H-M_alt 'P m -3 m'
_space_group_IT_number 221
_space_group_name_Hall '-P 4 2 3'
_cell_length_a 3.905
_cell_length_b 3.905
_cell_length_c 3.905
_cell_angle_alpha 90.00
_cell_angle_beta 90.00
_cell_angle_gamma 90.00
loop_
_atom_site_label
_atom_site_type_symbol
_atom_site_fract_x
_atom_site_fract_y
_atom_site_fract_z
Eu1 Eu 0.000 0.000 0.000
H1 H 0.000 0.500 0.500
Au1 Au 0.500 0.500 0.500
```

11.
# NaMnAlFe (PBE, optimized geometry)
data_NaMnAlFe
_space_group_name_H-M_alt 'P 4 m m'
_space_group_IT_number 99
_space_group_name_Hall 'P 4 -2'
_cell_length_a 2.845
_cell_length_b 2.845
_cell_length_c 8.052
_cell_angle_alpha 90.00
_cell_angle_beta 90.00
_cell_angle_gamma 90.00
loop_
_atom_site_label
_atom_site_type_symbol
_atom_site_fract_x
_atom_site_fract_y
_atom_site_fract_z
Na1 Na 0.000 0.000 0.000
Mn1 Mn 0.500 0.500 0.322
Al1 Al 0.500 0.500 0.675
Fe1 Fe 0.000 0.000 0.484
# DFT formation energy in eV per atom: 0.2057

12.
# YPbW (PBE, optimized geometry)
data_YPbW
_space_group_name_H-M_alt 'I 4 m m'
_space_group_IT_number 107
_space_group_name_Hall 'I 4 -2'
_cell_length_a 3.203
_cell_length_b 3.203
_cell_length_c 13.773
_cell_angle_alpha 90.00
_cell_angle_beta 90.00
_cell_angle_gamma 90.00
loop_
_atom_site_label
_atom_site_type_symbol
_atom_site_fract_x
_atom_site_fract_y
_atom_site_fract_z
Y1 Y 0.000 0.000 0.000
Pb1 Pb 0.000 0.000 0.303
W1 W 0.000 0.000 0.653
# DFT formation energy in eV per atom: 0.5619

13.
# VPdPt2Rh (PBE, optimized geometry)
data_VPdPt2Rh
_space_group_name_H-M_alt 'P 4/m m m'
_space_group_IT_number 123
_space_group_name_Hall '-P 4 2'
_cell_length_a 4.820
_cell_length_b 4.820
_cell_length_c 4.614
_cell_angle_alpha 90.00
_cell_angle_beta 90.00
_cell_angle_gamma 90.00
loop_
_atom_site_label
_atom_site_type_symbol
_atom_site_fract_x
_atom_site_fract_y
_atom_site_fract_z
V1 V 0.000 0.000 0.000
Pd1 Pd 0.500 0.500 0.500
Pt1 Pt 0.000 0.500 0.500
Rh1 Rh 0.500 0.500 0.000
# DFT formation energy in eV per atom: 1.6485

14.
# LaNbP2 (PBE, optimized geometry)
data_LaNbP2
_space_group_name_H-M_alt 'I -4 2 d'
_space_group_IT_number 122
_space_group_name_Hall 'I -4 2bw'
_cell_length_a 5.985
_cell_length_b 5.985
_cell_length_c 12.452
_cell_angle_alpha 90.00
_cell_angle_beta 90.00
_cell_angle_gamma 90.00
loop_
_atom_site_label
_atom_site_type_symbol
_atom_site_fract_x
_atom_site_fract_y
_atom_site_fract_z
La1 La 0.000 0.000 0.000
Nb1 Nb 0.000 0.000 0.500
P1 P 0.181 0.250 0.625
# DFT formation energy in eV per atom: -0.5539

15.
# CePm2Ho4Tm (PBE, optimized geometry)
data_CePm2Ho4Tm
_space_group_name_H-M_alt 'C 1 2/c 1'
_space_group_IT_number 15
_space_group_name_Hall '-C 2yc'
_cell_length_a 13.498
_cell_length_b 13.156
_cell_length_c 6.724
_cell_angle_alpha 90.00
_cell_angle_beta 119.87
_cell_angle_gamma 90.00
loop_
_atom_site_label
_atom_site_type_symbol
_atom_site_fract_x
_atom_site_fract_y
_atom_site_fract_z
Ce1 Ce 0.250 0.250 0.000
Pm1 Pm 0.000 0.000 0.000
Pm2 Pm 0.250 0.250 0.500
Ho1 Ho 0.000 0.254 0.508
Ho2 Ho 0.246 0.492 0.996
Tm1 Tm 0.000 0.500 0.000
# DFT formation energy in eV per atom: 0.4291

16.
# PuTlAu4 (PBE, optimized geometry)
data_PuTlAu4
_space_group_name_H-M_alt 'F -4 3 m'
_space_group_IT_number 216
_space_group_name_Hall 'F -4 2 3'
_cell_length_a 8.032
_cell_length_b 8.032
_cell_length_c 8.032
_cell_angle_alpha 90.00
_cell_angle_beta 90.00
_cell_angle_gamma 90.00
loop_
_atom_site_label
_atom_site_type_symbol
_atom_site_fract_x
_atom_site_fract_y
_atom_site_fract_z
Pu1 Pu 0.000 0.000 0.000
Tl1 Tl 0.250 0.250 0.750
Au1 Au 0.125 0.125 0.375
# DFT formation energy in eV per atom: -0.2213

17.
# Mo2IrBr (PBE, optimized geometry)
data_Mo2IrBr
_space_group_name_H-M_alt 'C 1 2/m 1'
_space_group_IT_number 12
_space_group_name_Hall '-C 2y'
_cell_length_a 9.225
_cell_length_b 3.080
_cell_length_c 7.460
_cell_angle_alpha 90.00
_cell_angle_beta 122.46
_cell_angle_gamma 90.00
loop_
_atom_site_label
_atom_site_type_symbol
_atom_site_fract_x
_atom_site_fract_y
_atom_site_fract_z
Mo1 Mo 0.229 0.000 0.361
Ir1 Ir 0.000 0.000 0.500
Br1 Br 0.000 0.500 0.000
# Uncorrected formation energy in meV per atom: 452

18.
# BaTe2Os (PBE, optimized geometry)
data_BaTe2Os
_space_group_name_H-M_alt 'R -3 m'
_space_group_IT_number 166
_space_group_name_Hall '-R 3 2"'
_cell_length_a 4.3542
_cell_length_b 4.3542
_cell_length_c 20.5384
_cell_angle_alpha 90.00
_cell_angle_beta 90.00
_cell_angle_gamma 120.00
loop_
_atom_site_label
_atom_site_type_symbol
_atom_site_fract_x
_atom_site_fract_y
_atom_site_fract_z
Ba1 Ba 0.0000 0.0000 0.0000
Te1 Te 0.0000 0.0000 0.2220
Os1 Os 0.0000 0.0000 0.5000
# Uncorrected formation energy in meV per atom: -442

19.
# Tm7Bi2Au2 (PBE, optimized geometry)
data_Tm7Bi2Au2
_space_group_name_H-M_alt 'C m m m'
_space_group_IT_number 65
_space_group_name_Hall '-C 2 2'
_cell_length_a 9.012
_cell_length_b 10.748
_cell_length_c 6.969
_cell_angle_alpha 90.00
_cell_angle_beta 90.00
_cell_angle_gamma 90.00
loop_
_atom_site_label
_atom_site_type_symbol
_atom_site_fract_x
_atom_site_fract_y
_atom_site_fract_z
Tm1 Tm 0.000 0.000 0.000
Tm2 Tm 0.000 0.500 0.239
Tm3 Tm 0.250 0.250 0.247
Bi1 Bi 0.199 0.000 0.500
Au1 Au 0.000 0.279 0.000
# DFT formation energy in eV per atom: -0.3967

20.
# ZnSnIr3 (PBE, optimized geometry)
data_ZnSnIr3
_space_group_name_H-M_alt 'P m -3 m'
_space_group_IT_number 221
_space_group_name_Hall '-P 4 2 3'
_cell_length_a 4.852
_cell_length_b 4.852
_cell_length_c 4.852
_cell_angle_alpha 90.00
_cell_angle_beta 90.00
_cell_angle_gamma 90.00
loop_
_atom_site_label
_atom_site_type_symbol
_atom_site_fract_x
_atom_site_fract_y
_atom_site_fract_z
Zn1 Zn 0.000 0.000 0.000
Sn1 Sn 0.500 0.500 0.500
Ir1 Ir 0.000 0.500 0.500
# DFT formation energy in eV per atom: 1.7467

21.
# Tb2Ho2Cu3 (PBE, optimized geometry)
data_Tb2Ho2Cu3
_space_group_name_H-M_alt 'I 21 3'
_space_group_IT_number 199
_space_group_name_Hall 'I 2b 2c 3'
_cell_length_a 8.685
_cell_length_b 8.685
_cell_length_c 8.685
_cell_angle_alpha 90.00
_cell_angle_beta 90.00
_cell_angle_gamma 90.00
loop_
_atom_site_label
_atom_site_type_symbol
_atom_site_fract_x
_atom_site_fract_y
_atom_site_fract_z
Tb1 Tb 0.184 0.316 0.684
Ho1 Ho 0.065 0.065 0.065
Cu1 Cu 0.000 0.250 0.371
# DFT formation energy in eV per atom: -0.0904

22.
# Fe2Ni2Pt (PBE, optimized geometry)
data_Fe2Ni2Pt
_space_group_name_H-M_alt 'P 4/m b m'
_space_group_IT_number 127
_space_group_name_Hall '-P 4 2ab'
_cell_length_a 6.877
_cell_length_b 6.877
_cell_length_c 2.663
_cell_angle_alpha 90.00
_cell_angle_beta 90.00
_cell_angle_gamma 90.00
loop_
_atom_site_label
_atom_site_type_symbol
_atom_site_fract_x
_atom_site_fract_y
_atom_site_fract_z
Fe1 Fe 0.122 0.378 0.000
Ni1 Ni 0.174 0.674 0.500
Pt1 Pt 0.000 0.000 0.000
# DFT formation energy in eV per atom: 0.0656

23.
# TbPu2Pb9 (PBE, optimized geometry)
data_TbPu2Pb9
_space_group_name_H-M_alt 'C m m m'
_space_group_IT_number 65
_space_group_name_Hall '-C 2 2'
_cell_length_a 7.963
_cell_length_b 7.975
_cell_length_c 11.235
_cell_angle_alpha 90.00
_cell_angle_beta 90.00
_cell_angle_gamma 90.00
loop_
_atom_site_label
_atom_site_type_symbol
_atom_site_fract_x
_atom_site_fract_y
_atom_site_fract_z
Tb1 Tb 0.000 0.000 0.000
Pu1 Pu 0.000 0.000 0.332
Pb1 Pb 0.000 0.500 0.000
Pb2 Pb 0.000 0.500 0.331
Pb3 Pb 0.250 0.250 0.163
Pb4 Pb 0.250 0.250 0.500
# DFT formation energy in eV per atom: -0.1046

24.
# VHgGe (PBE, optimized geometry)
data_VHgGe
_space_group_name_H-M_alt 'P m m m'
_space_group_IT_number 47
_space_group_name_Hall '-P 2 2'
_cell_length_a 2.774
_cell_length_b 4.290
_cell_length_c 5.039
_cell_angle_alpha 90.00
_cell_angle_beta 90.00
_cell_angle_gamma 90.00
loop_
_atom_site_label
_atom_site_type_symbol
_atom_site_fract_x
_atom_site_fract_y
_atom_site_fract_z
V1 V 0.000 0.000 0.000
Hg1 Hg 0.500 0.000 0.500
Ge1 Ge 0.500 0.500 0.000
# DFT formation energy in eV per atom: 0.0770

25.
# Li2Ac3Tl3 (PBE, optimized geometry)
data_Li2Ac3Tl3
_space_group_name_H-M_alt 'C m c m'
_space_group_IT_number 63
_space_group_name_Hall '-C 2c 2'
_cell_length_a 5.067
_cell_length_b 11.550
_cell_length_c 16.934
_cell_angle_alpha 90.00
_cell_angle_beta 90.00
_cell_angle_gamma 90.00
loop_
_atom_site_label
_atom_site_type_symbol
_atom_site_fract_x
_atom_site_fract_y
_atom_site_fract_z
Li1 Li 0.000 0.209 0.091
Ac1 Ac 0.000 0.095 0.608
Ac2 Ac 0.000 0.387 0.750
Tl1 Tl 0.000 0.318 0.250
Tl2 Tl 0.000 0.384 0.545
# DFT formation energy in eV per atom: -0.2989

no.,total magnetization (Bohr magnetons per cell),raw total energy (eV per atom)
1,0.0,-4.6050
2,5.6,-5.1831
3,0.0,-4.3684
4,0.0,-4.8367
5,0.0,-3.4597
6,0.0,-10.6471
7,0.0,-3.3877
8,0.0,-8.0366
9,13.5,-4.2529
10,6.9,-5.0229
11,3.7,-5.4677
12,0.7,-7.1466
13,0.8,-5.1004
14,2.5,-7.0081
15,8.4,-4.3481
16,21.4,-5.1892
17,0.0,-7.5974
18,0.0,-5.3013
19,0.0,-4.5437
20,0.0,-4.6252
21,0.0,-4.4767
22,14.4,-6.8401
23,22.8,-5.6603
24,0.8,-4.6023
25,0.0,-3.2054